Entry 1:
# Ac2SmGa PBE-GGA optimized geometry
data_Ac2SmGa
_cell_length_a 5.190
_cell_length_b 5.190
_cell_length_c 4.927
_cell_angle_alpha 90.00
_cell_angle_beta 90.00
_cell_angle_gamma 90.00
_space_group_name_H-M_alt 'P 4/m m m'
_space_group_IT_number 123
_space_group_name_Hall '-P 4 2'
loop_
_atom_site_label
_atom_site_fract_x
_atom_site_fract_y
_atom_site_fract_z
Ac1 0.000 0.500 0.000
Sm1 0.000 0.000 0.500
Ga1 0.500 0.500 0.500
# Calculated formation energy in meV per atom: -114
# Energy above the most stable polymorph in this dataset in kJ/mol of atoms: 6.4
# Total magnetic moment in Bohr magnetons per cell: 0.00



Entry 2:
# ScVP2 PBE-GGA optimized geometry
data_ScVP2
_cell_length_a 5.589
_cell_length_b 5.589
_cell_length_c 11.607
_cell_angle_alpha 90.00
_cell_angle_beta 90.00
_cell_angle_gamma 90.00
_space_group_name_H-M_alt 'I -4 2 d'
_space_group_IT_number 122
_space_group_name_Hall 'I -4 2bw'
loop_
_atom_site_label
_atom_site_fract_x
_atom_site_fract_y
_atom_site_fract_z
Sc1 0.000 0.000 0.000
V1 0.000 0.000 0.500
P1 0.214 0.250 0.625
# Calculated formation energy in meV per atom: -473
# Energy above the most stable polymorph in this dataset in kJ/mol of atoms: 55.5
# Total magnetic moment in Bohr magnetons per cell: 7.90



Entry 3:
# Cs2GaSiTe4 PBE-GGA optimized geometry
data_Cs2GaSiTe4
_cell_length_a 6.649
_cell_length_b 15.567
_cell_length_c 26.847
_cell_angle_alpha 90.00
_cell_angle_beta 90.00
_cell_angle_gamma 90.00
_space_group_name_H-M_alt 'F d d d'
_space_group_IT_number 70
loop_
_space_group_symop_operation_xyz
'x,y,z'
'-x,-y,-z'
'-x+1/4,-y+1/4,z'
'x+1/4,y+1/4,-z'
'x,-y+1/4,-z+1/4'
'-x,y+1/4,z+1/4'
'-x+1/4,y,-z+1/4'
'x+1/4,-y,z+1/4'
'x,y+1/2,z+1/2'
'-x,-y+1/2,-z+1/2'
'-x+1/4,-y+3/4,z+1/2'
'x+1/4,y+3/4,-z+1/2'
'x,-y+3/4,-z+3/4'
'-x,y+3/4,z+3/4'
'-x+1/4,y+1/2,-z+3/4'
'x+1/4,-y+1/2,z+3/4'
'x+1/2,y,z+1/2'
'-x+1/2,-y,-z+1/2'
'-x+3/4,-y+1/4,z+1/2'
'x+3/4,y+1/4,-z+1/2'
'x+1/2,-y+1/4,-z+3/4'
'-x+1/2,y+1/4,z+3/4'
'-x+3/4,y,-z+3/4'
'x+3/4,-y,z+3/4'
'x+1/2,y+1/2,z'
'-x+1/2,-y+1/2,-z'
'-x+3/4,-y+3/4,z'
'x+3/4,y+3/4,-z'
'x+1/2,-y+3/4,-z+1/4'
'-x+1/2,y+3/4,z+1/4'
'-x+3/4,y+1/2,-z+1/4'
'x+3/4,-y+1/2,z+1/4'
loop_
_atom_site_label
_atom_site_fract_x
_atom_site_fract_y
_atom_site_fract_z
Cs1 0.125 0.125 0.307
Ga1 0.125 0.125 0.125
Si1 0.125 0.125 0.625
Te1 0.120 0.281 0.820
# Raw total energy in eV/atom: -3.405
# Total magnetic moment in Bohr magnetons per cell: 0.00



Entry 4:
# BePbNO2 PBE-GGA optimized geometry
data_BePbNO2
_cell_length_a 3.411
_cell_length_b 3.411
_cell_length_c 4.627
_cell_angle_alpha 90.00
_cell_angle_beta 90.00
_cell_angle_gamma 90.00
_space_group_name_H-M_alt 'P 4/m m m'
_space_group_IT_number 123
_space_group_name_Hall '-P 4 2'
loop_
_atom_site_label
_atom_site_fract_x
_atom_site_fract_y
_atom_site_fract_z
Be1 0.000 0.000 0.000
Pb1 0.500 0.500 0.500
N1 0.000 0.000 0.500
O1 0.000 0.500 0.000
# Raw total energy in eV/atom: -5.364
# Total magnetic moment in Bohr magnetons per cell: 1.75